ZnInSn2Pt: relaxed, PBE-GGA.

## Properties
**Space-group type**: P4/mmm, No. 123
**E_form**: 0.121 eV/atom
**Raw total energy**: -3.49 eV/atom
**V**: 143.7 Å³/cell

Cell lengths 5.2730, 5.2730, 5.1667 Å; angles 90.00, 90.00, 90.00 degrees
With the nearest neighbours (Å) after each atom.
Positions (direct):
Zn1 0.0000 0.0000 0.0000  8 Sn 3.69, 4 In 3.73
In1 0.5000 0.5000 0.0000  2 Pt 2.58
Sn1 0.0000 0.5000 0.5000  2 Pt 2.64
Sn2 0.5000 0.0000 0.5000  2 Pt 2.64
Pt1 0.5000 0.5000 0.5000  2 In 2.58, 4 Sn 2.64

=====

LiCa2Ga: relaxed, PBE-GGA.

## Properties
**Space-group type**: P4/mmm, No. 123
**E_form**: -0.238 eV/atom
**Raw total energy**: -2.47 eV/atom
**V**: 110.9 Å³/cell

Cell lengths 3.7101, 3.7101, 8.0577 Å; angles 90.00, 90.00, 90.00 degrees
With the nearest neighbours (Å) after each atom.
Positions (direct):
Li1 0.0000 0.0000 0.0000  8 Ca 3.45, 4 Li 3.71
Ca1 0.5000 0.5000 0.2781  4 Ga 3.17, 4 Li 3.45
Ca2 0.5000 0.5000 0.7219  4 Ga 3.17, 4 Li 3.45
Ga1 0.0000 0.0000 0.5000  8 Ca 3.17

=====

RbSnAsIr: relaxed, PBE-GGA.

## Properties
**Space-group type**: P4/nmm, No. 129
**E_form**: -0.279 eV/atom
**Raw total energy**: -4.90 eV/atom
**V**: 230.5 Å³/cell

Cell lengths 4.1356, 4.1356, 13.4755 Å; angles 90.00, 90.00, 90.00 degrees
With the nearest neighbours (Å) after each atom.
Positions (direct):
Rb1 0.2500 0.2500 0.2484  4 As 3.55, 4 Sn 3.93, 4 Ir 3.97
Rb2 0.7500 0.7500 0.7516  4 As 3.55, 4 Sn 3.93, 4 Ir 3.97
Sn1 0.2500 0.7500 0.0000  4 Sn 2.92
Sn2 0.7500 0.2500 0.0000  4 Sn 2.92
As1 0.2500 0.2500 0.6019  4 Ir 2.48
As2 0.7500 0.7500 0.3981  4 Ir 2.48
Ir1 0.2500 0.7500 0.5000  4 As 2.48
Ir2 0.7500 0.2500 0.5000  4 As 2.48

=====

Li3Ce2WN6: relaxed, PBE-GGA.

## Properties
**Space-group type**: C2/m, No. 12
**ΔE_f (raw)**: -0.76 eV/atom
**Raw total energy**: -7.47 eV/atom
**V**: 150.7 Å³/cell

Cell lengths 5.9007, 5.9007, 5.3440 Å; angles 98.57, 98.57, 121.70 degrees
With the nearest neighbours (Å) after each atom.
Positions (direct):
Li1 0.0000 0.0000 0.0000  6 N 2.39-2.42
Li2 0.3725 0.6275 0.0000  4 N 2.15-2.21
Li3 0.6275 0.3725 0.0000  4 N 2.15-2.21
Ce1 0.1677 0.8323 0.5000  6 N 2.31-2.38
Ce2 0.8323 0.1677 0.5000  6 N 2.31-2.38
W1 0.5000 0.5000 0.5000  6 N 2.06-2.07
N1 0.1425 0.4337 0.2811  1 W 2.06, 1 Li 2.21
N2 0.2586 0.2586 0.7184  1 W 2.07, 2 Li 2.15
N3 0.4337 0.1425 0.2811  1 W 2.06, 1 Li 2.21
N4 0.5663 0.8575 0.7189  1 W 2.06, 1 Li 2.21
N5 0.7414 0.7414 0.2816  1 W 2.07, 2 Li 2.15
N6 0.8575 0.5663 0.7189  1 W 2.06, 1 Li 2.21

=====

TaCr2Mo: relaxed, PBE-GGA.

## Properties
**Space-group type**: I-4m2, No. 119
**Distance to the lowest polymorph of the same formula**: 0.278 eV/atom
**E_form**: 0.258 eV/atom
**Raw total energy**: -10.22 eV/atom
**V**: 58.7 Å³/cell

Cell lengths 5.2229, 5.2229, 5.2229 Å; angles 139.86, 139.86, 58.07 degrees
With the nearest neighbours (Å) after each atom.
Positions (direct):
Ta1 0.0000 0.0000 0.0000  4 Cr 2.53
Cr1 0.2500 0.7500 0.5000  4 Mo 2.53
Cr2 0.5000 0.5000 0.0000  4 Ta 2.53
Mo1 0.7500 0.2500 0.5000  4 Cr 2.53

=====

Ba2ZrPdSe5: relaxed, PBE-GGA.

## Properties
**Space-group type**: Cmc2_1, No. 36
**ΔE_f (raw)**: -1.35 eV/atom
**Raw total energy**: -5.24 eV/atom
**V**: 506.6 Å³/cell

Cell lengths 9.6234, 9.6234, 13.1843 Å; angles 90.00, 90.00, 155.49 degrees
With the nearest neighbours (Å) after each atom.
Positions (direct):
Ba1 0.1197 0.8803 0.5000  7 Se 3.23-3.54
Ba2 0.1269 0.8731 0.8622  7 Se 3.22-3.43
Ba3 0.8731 0.1269 0.3622  7 Se 3.22-3.43
Ba4 0.8803 0.1197 0.0000  7 Se 3.23-3.54
Zr1 0.1875 0.8125 0.1893  6 Se 2.72-2.78
Zr2 0.8125 0.1875 0.6893  6 Se 2.72-2.78
Pd1 0.4329 0.5671 0.6132  4 Se 2.51-2.56
Pd2 0.5671 0.4329 0.1132  4 Se 2.51-2.56
Se1 0.0418 0.9582 0.2181  2 Pd 2.51, 1 Zr 2.77
Se2 0.3025 0.6975 0.8305  2 Zr 2.77
Se3 0.3048 0.6952 0.5466  1 Pd 2.56, 2 Zr 2.78
Se4 0.3318 0.6682 0.1803  1 Zr 2.72
Se5 0.4933 0.5067 0.4418  1 Pd 2.53
Se6 0.5067 0.4933 0.9418  1 Pd 2.53
Se7 0.6682 0.3318 0.6803  1 Zr 2.72
Se8 0.6952 0.3048 0.0466  1 Pd 2.56, 2 Zr 2.78
Se9 0.6975 0.3025 0.3305  2 Zr 2.77
Se10 0.9582 0.0418 0.7181  2 Pd 2.51, 1 Zr 2.77